Below is an optimized crystal structure of BaPuTl2S4, with properties calculated at the PBE-GGA level.

Geometry as POSCAR:
```
BaPuTl2S4
1.0
7.589 0.000 0.000
0.000 4.263 0.000
-2.518 0.000 7.341
Ba Pu Tl S
1 1 2 4
Cartesian
0.000 0.000 0.000
3.794 2.132 0.000
-1.259 2.132 3.671
2.535 0.000 3.671
1.625 2.132 1.547
0.249 0.000 5.868
4.821 0.000 1.474
3.446 2.132 5.794
```

Results
Its space group is P2/m. The calculation puts the energy relative to the elements, uncorrected at -1.160 eV/atom.